[1]
Compound: SiHgOs2
Source: Alexandria
Functional: GGA-PBE
Structure: relaxed

Properties
Space-group type ... P4/mmm (123)
Formation energy without anion corrections ... 0.729 eV per atom

a b c (Å): 3.140 4.407 4.407
angles (deg): 90.00 90.00 90.00
Atoms (fractional coordinates):
Os 0.000 0.000 0.000
Os 0.000 0.500 0.500
Si 0.500 0.500 0.000
Hg 0.500 0.000 0.500

***

[2]
Compound: PuI4
Source: Alexandria
Functional: GGA-PBE
Structure: relaxed

Properties
Space-group type ... P2/c (13)
Formation energy without anion corrections ... -0.836 eV per atom

a b c (Å): 7.728 7.840 8.968
angles (deg): 90.00 90.00 109.93
Atoms (fractional coordinates):
I 0.534 0.751 0.359
I 0.466 0.249 0.641
I 0.034 0.751 0.641
I 0.499 0.228 0.114
I 0.966 0.249 0.359
I 0.501 0.772 0.886
I 0.999 0.228 0.886
I 0.001 0.772 0.114
Pu 0.250 0.000 0.866
Pu 0.750 0.000 0.134

***

[3]
Compound: BaAcNd
Source: Alexandria
Functional: GGA-PBE
Structure: relaxed

Properties
Space-group type ... P3m1 (156)
Formation energy from the elements ... 0.11 eV/atom

a b c (Å): 3.982 3.982 9.861
angles (deg): 90.00 90.00 120.00
Atoms (fractional coordinates):
Ba 0.000 0.000 0.008
Ac 0.333 0.667 0.646
Nd 0.667 0.333 0.346

***

[4]
Compound: TlPIr
Source: Alexandria
Functional: GGA-PBE
Structure: relaxed

Properties
Space-group type ... P3m1 (156)
Formation energy from the elements ... -0.06 eV/atom

a b c (Å): 3.572 3.572 5.732
angles (deg): 90.00 90.00 120.00
Atoms (fractional coordinates):
Tl 0.333 0.667 0.677
P 0.667 0.333 0.245
Ir 0.000 0.000 0.079

***

[5]
Compound: VH4Rh
Source: Alexandria
Functional: GGA-PBE
Structure: relaxed

Properties
Space-group type ... P4/mmm (123)
Electronic total energy ... -5.03 eV per atom

a b c (Å): 3.119 3.120 4.151
angles (deg): 90.00 90.00 90.00
Atoms (fractional coordinates):
H 0.001 0.497 0.252
H 0.501 0.997 0.745
H 0.001 0.497 0.745
H 0.501 0.997 0.252
V 0.501 0.497 0.998
Rh 0.001 0.997 0.498

***

[6]
Compound: Rb3N2Cl3
Source: Alexandria
Functional: GGA-PBE
Structure: relaxed

Properties
Space-group type ... Cmcm (63)
Formation energy without anion corrections ... -0.090 eV per atom

a b c (Å): 6.525 6.525 17.611
angles (deg): 90.00 90.00 139.38
Atoms (fractional coordinates):
Cl 0.615 0.385 0.940
Cl 0.385 0.615 0.440
Cl 0.615 0.385 0.560
Cl 0.385 0.615 0.060
Cl 0.393 0.607 0.750
Cl 0.607 0.393 0.250
N 0.203 0.797 0.867
N 0.203 0.797 0.633
N 0.797 0.203 0.133
N 0.797 0.203 0.367
Rb 0.659 0.341 0.750
Rb 0.897 0.103 0.587
Rb 0.341 0.659 0.250
Rb 0.103 0.897 0.087
Rb 0.103 0.897 0.413
Rb 0.897 0.103 0.913

***

[7]
Compound: BaGa2TeO8
Source: Alexandria
Functional: GGA-PBE
Structure: relaxed

Properties
Space-group type ... P-1 (2)
Formation energy without anion corrections ... -1.505 eV per atom

a b c (Å): 4.602 4.657 7.650
angles (deg): 94.63 90.19 88.02
Atoms (fractional coordinates):
O 0.804 0.222 0.200
O 0.294 0.297 0.999
O 0.524 0.382 0.559
O 0.205 0.824 0.188
O 0.795 0.176 0.812
O 0.196 0.778 0.800
O 0.706 0.703 0.001
O 0.476 0.618 0.441
Ba 0.000 0.000 0.500
Te 0.000 0.000 0.000
Ga 0.503 0.514 0.185
Ga 0.497 0.486 0.815

***

[8]
Compound: CeGa6S8
Source: Alexandria
Functional: GGA-PBE
Structure: relaxed

Properties
Space-group type ... R-3 (148)
Formation energy without anion corrections ... -0.580 eV per atom

a b c (Å): 6.943 6.943 6.943
angles (deg): 94.82 94.82 94.82
Atoms (fractional coordinates):
Ga 0.696 0.387 0.710
Ga 0.613 0.290 0.304
Ga 0.290 0.304 0.613
Ga 0.387 0.710 0.696
Ga 0.710 0.696 0.387
Ga 0.304 0.613 0.290
S 0.962 0.214 0.656
S 0.344 0.038 0.786
S 0.038 0.786 0.344
S 0.266 0.266 0.266
S 0.734 0.734 0.734
S 0.656 0.962 0.214
S 0.786 0.344 0.038
S 0.214 0.656 0.962
Ce 0.000 0.000 0.000

***

[9]
Compound: NaLaSeBr2
Source: Alexandria
Functional: GGA-PBE
Structure: relaxed

Properties
Space-group type ... P4/mmm (123)
Formation energy without anion corrections ... -1.532 eV per atom

a b c (Å): 5.922 5.922 5.741
angles (deg): 90.00 90.00 90.00
Atoms (fractional coordinates):
Br 0.500 0.000 0.000
Br 0.000 0.500 0.000
La 0.000 0.000 0.000
Na 0.500 0.500 0.500
Se 0.000 0.000 0.500

***

[10]
Compound: YZrTc2
Source: Alexandria
Functional: GGA-PBE
Structure: relaxed

Properties
Space-group type ... Pmm2 (25)
Formation energy from the elements ... 0.26 eV/atom

a b c (Å): 3.210 4.196 5.905
angles (deg): 90.00 90.00 90.00
Atoms (fractional coordinates):
Tc 0.500 0.500 0.224
Tc 0.000 0.000 0.003
Zr 0.500 0.500 0.807
Y 0.000 0.000 0.465

***

[11]
Compound: ZrAlAu3
Source: Alexandria
Functional: GGA-PBE
Structure: relaxed

Properties
Space-group type ... C2/m (12)
Formation energy from the elements ... -0.35 eV/atom

a b c (Å): 4.832 4.864 9.110
angles (deg): 105.49 105.47 90.00
Atoms (fractional coordinates):
Au 0.555 0.306 0.612
Au 0.784 0.034 0.068
Au 0.445 0.694 0.388
Au 0.216 0.966 0.932
Au 0.045 0.793 0.586
Au 0.955 0.207 0.414
Al 0.629 0.878 0.756
Al 0.371 0.122 0.244
Zr 0.863 0.613 0.226
Zr 0.137 0.387 0.774

***

[12]
Compound: Pu2PtAu2N2
Source: Alexandria
Functional: GGA-PBE
Structure: relaxed

Properties
Space-group type ... P-3m1 (164)
Formation energy without anion corrections ... -0.225 eV per atom

a b c (Å): 3.633 3.633 11.746
angles (deg): 90.00 90.00 120.00
Atoms (fractional coordinates):
Pt 0.000 0.000 0.000
Pu 0.667 0.333 0.176
Pu 0.333 0.667 0.824
N 0.667 0.333 0.769
N 0.333 0.667 0.231
Au 0.000 0.000 0.612
Au 0.000 0.000 0.388